# 1
DFT (PBEsol) results for a geometry-optimized BeFe2Ir structure.

The crystal system is orthorhombic. The calculation puts the density of states at the Fermi level at 3.515 states/eV/f.u.

The structure belongs to space group Cmmm (No. 65); the cell edges are 4.7782, 7.3722 and 2.5650 Å and the angles 90.00°, 90.00° and 90.00°. The asymmetric unit holds Be at (0.0000, 0.0000, 0.0000), Fe at (0.2500, 0.2500, 0.5000) and Ir at (0.0000, 0.5000, 0.0000).



# 2
DFT (PBEsol) results for a geometry-optimized MgZn2Hg structure.

The crystal system is monoclinic. The calculation puts the distance to the lowest polymorph of the same formula at 0.027 eV/atom. The calculation puts the density of states at the Fermi level at 1.213 states/eV/f.u.

The structure belongs to space group C2/m (No. 12); the cell edges are 9.2156, 3.3058 and 4.7380 Å and the angles 90.00°, 100.05° and 90.00°. The asymmetric unit holds Mg at (0.0000, 0.0000, 0.0000), Zn at (0.2475, 0.5000, 0.2398) and Hg at (0.0000, 0.5000, 0.5000).



# 3
DFT (PBEsol) results for a geometry-optimized TiMnCr structure.

The crystal system is orthorhombic. The calculation puts the density of states at the Fermi level at 2.910 states/eV/f.u.

The structure belongs to space group Amm2 (No. 38); the cell edges are 7.7182, 4.7468 and 8.2293 Å and the angles 90.00°, 90.00° and 90.00°. The asymmetric unit holds Ti at (0.1863, 0.0000, 0.0000), Ti at (0.3107, 0.0000, 0.3336), Mn at (0.0000, 0.0000, 0.4937), Mn at (0.0000, 0.2409, 0.2527), Mn at (0.5000, 0.0000, 0.8370), Cr at (0.2428, 0.0000, 0.6681) and Cr at (0.5000, 0.2459, 0.0812).



no.,ΔE_f (eV per atom)
1,-0.05
2,-0.03
3,-0.19